# Hf4TcRh3

Crystalline Hf4TcRh3 at its relaxed geometry (PBE, the Alexandria database).

Cell and atoms, written as POSCAR:
```
Hf4TcRh3
1.0
3.3019 0.0000 0.0000
0.0000 4.5975 0.0000
0.0000 0.0000 9.1642
Hf Rh Tc
4 3 1
direct
0.0000 0.5000 0.2458
0.0000 0.0000 0.5000
0.0000 0.0000 0.0000
0.0000 0.5000 0.7542
0.5000 0.0000 0.2526
0.5000 0.0000 0.7474
0.5000 0.5000 0.5000
0.5000 0.5000 0.0000
```

- DFT formation energy: -831 meV/atom

# Hf2Tc2Rh

Crystalline Hf2Tc2Rh at its relaxed geometry (PBE, the Alexandria database).

Cell and atoms, written as POSCAR:
```
Hf2Tc2Rh
1.0
-3.7214 5.1295 2.1902
-2.3139 -3.8156 5.0045
3.0391 1.2107 2.3282
Tc Rh Hf
4 2 4
direct
0.6233 0.1233 0.0000
0.1233 0.3767 0.0000
0.8767 0.6233 0.0000
0.3767 0.8767 0.0000
0.5000 0.5000 0.0000
0.0000 0.0000 0.0000
0.8195 0.3195 0.5000
0.1805 0.6805 0.5000
0.3195 0.1805 0.5000
0.6805 0.8195 0.5000
```

- DFT formation energy: -162 meV/atom

# HfTi2TcRh

Crystalline HfTi2TcRh at its relaxed geometry (PBE, the Alexandria database).

Cell and atoms, written as POSCAR:
```
HfTi2TcRh
1.0
4.7569 0.0000 0.0000
0.0000 4.5637 0.0000
0.0000 0.0000 4.7569
Hf Ti Tc Rh
1 2 1 1
direct
0.0000 0.0000 0.0000
0.0000 0.0000 0.5000
0.5000 0.0000 0.0000
0.0000 0.5000 0.0000
0.5000 0.5000 0.5000
```

- DFT formation energy: 1478 meV/atom

# HfTiTcRh

Crystalline HfTiTcRh at its relaxed geometry (PBE, the Alexandria database).

Cell and atoms, written as POSCAR:
```
HfTiTcRh
1.0
3.2448 0.0000 0.0000
0.0000 4.5155 0.0000
0.0000 0.0000 4.4175
Rh Ti Hf Tc
1 1 1 1
direct
0.5000 0.0000 0.5000
0.0000 0.5000 0.5000
0.0000 0.0000 0.0000
0.5000 0.5000 0.0000
```

- DFT formation energy: -723 meV/atom

# Hf2TlTcRh

Crystalline Hf2TlTcRh at its relaxed geometry (PBE, the Alexandria database).

Cell and atoms, written as POSCAR:
```
Hf2TlTcRh
1.0
5.1944 0.0000 0.0000
0.0000 4.8246 0.0000
0.0000 0.0000 5.1944
Tl Tc Hf Rh
1 1 2 1
direct
0.0000 0.0000 0.0000
0.5000 0.5000 0.5000
0.5000 0.0000 0.0000
0.0000 0.0000 0.5000
0.0000 0.5000 0.0000
```

- DFT formation energy: 1848 meV/atom

# Hf2TlTcRh

Crystalline Hf2TlTcRh at its relaxed geometry (PBE, the Alexandria database).

Cell and atoms, written as POSCAR:
```
Hf2TlTcRh
1.0
5.1755 0.0000 0.0000
0.0000 4.8782 0.0000
0.0000 0.0000 5.1755
Rh Hf Tl Tc
1 2 1 1
direct
0.5000 0.5000 0.5000
0.5000 0.0000 0.0000
0.0000 0.0000 0.5000
0.0000 0.0000 0.0000
0.0000 0.5000 0.0000
```

- DFT formation energy: 1959 meV/atom

# TmHfTcRh

Crystalline TmHfTcRh at its relaxed geometry (PBE, the Alexandria database).

Cell and atoms, written as POSCAR:
```
TmHfTcRh
1.0
4.6810 0.0000 0.0000
2.3405 4.0539 0.0000
2.3405 1.3513 3.8221
Tc Rh Tm Hf
1 1 1 1
direct
0.5000 0.5000 0.5000
0.0000 0.0000 0.0000
0.2500 0.2500 0.2500
0.7500 0.7500 0.7500
```

- DFT formation energy: -608 meV/atom

# HfUTcRh

Crystalline HfUTcRh at its relaxed geometry (PBE, the Alexandria database).

Cell and atoms, written as POSCAR:
```
HfUTcRh
1.0
-1.5248 0.2522 4.4537
-4.5398 -0.8013 0.9862
-1.2580 -3.9259 2.2866
Hf Rh Tc U
1 1 1 1
direct
0.0000 0.0000 0.0000
0.7500 0.7500 0.7500
0.2500 0.2500 0.2500
0.5000 0.5000 0.5000
```

- DFT formation energy: -365 meV/atom

# HfTcRh2W

Crystalline HfTcRh2W at its relaxed geometry (PBE, the Alexandria database).

Cell and atoms, written as POSCAR:
```
HfTcRh2W
1.0
-2.5276 0.7523 -3.7694
-0.5669 -4.6554 -0.5490
-3.8038 0.1587 2.5823
Rh W Hf Tc
2 1 1 1
direct
0.5000 0.0000 0.0000
0.0000 0.0000 0.5000
0.5000 0.5000 0.5000
0.0000 0.0000 0.0000
0.0000 0.5000 0.0000
```

- DFT formation energy: 1687 meV/atom

# YHfTc2Rh

Crystalline YHfTc2Rh at its relaxed geometry (PBE, the Alexandria database).

Cell and atoms, written as POSCAR:
```
YHfTc2Rh
1.0
4.6242 0.0000 0.0000
0.0000 5.0861 0.0000
0.0000 0.0000 4.6242
Y Tc Hf Rh
1 2 1 1
direct
0.0000 0.0000 0.0000
0.0000 0.0000 0.5000
0.5000 0.0000 0.0000
0.0000 0.5000 0.0000
0.5000 0.5000 0.5000
```

- DFT formation energy: 2163 meV/atom

# HfZnTc2Rh

Crystalline HfZnTc2Rh at its relaxed geometry (PBE, the Alexandria database).

Cell and atoms, written as POSCAR:
```
HfZnTc2Rh
1.0
-0.8152 -2.2932 3.9900
4.3564 -1.1895 0.2063
0.9452 3.8823 2.4244
Rh Tc Hf Zn
1 2 1 1
direct
0.0000 0.0000 0.0000
0.0000 0.0000 0.5000
0.5000 0.0000 0.0000
0.5000 0.5000 0.5000
0.0000 0.5000 0.0000
```

- DFT formation energy: 1039 meV/atom

# HfZnTc2Rh

Crystalline HfZnTc2Rh at its relaxed geometry (PBE, the Alexandria database).

Cell and atoms, written as POSCAR:
```
HfZnTc2Rh
1.0
4.5044 0.0000 0.0000
0.0000 4.4678 0.0000
0.0000 0.0000 4.5044
Hf Rh Tc Zn
1 1 2 1
direct
0.5000 0.5000 0.5000
0.0000 0.5000 0.0000
0.0000 0.0000 0.5000
0.5000 0.0000 0.0000
0.0000 0.0000 0.0000
```

- DFT formation energy: 934 meV/atom

# HfTe2Rh2

Crystalline HfTe2Rh2 at its relaxed geometry (PBE, the Alexandria database).

Cell and atoms, written as POSCAR:
```
HfTe2Rh2
1.0
-6.6362 0.3644 2.6922
2.1573 -3.6124 5.8066
0.8878 3.3246 1.7384
Hf Rh Te
2 4 4
direct
0.0000 0.0000 0.0000
0.5000 0.5000 0.0000
0.6305 0.1305 0.0000
0.1305 0.3695 0.0000
0.3695 0.8695 0.0000
0.8695 0.6305 0.0000
0.1817 0.6817 0.5000
0.8183 0.3183 0.5000
0.3183 0.1817 0.5000
0.6817 0.8183 0.5000
```

- Formation energy from raw total energies: -0.29 eV/atom

# HfTe2Rh2

Crystalline HfTe2Rh2 at its relaxed geometry (PBE, the Alexandria database).

Cell and atoms, written as POSCAR:
```
HfTe2Rh2
1.0
-2.7804 -0.1582 -2.7023
-1.8509 -2.7156 2.0633
-5.7810 3.4181 2.9618
Te Rh Hf
2 2 1
direct
0.3838 0.3838 0.2325
0.6162 0.6162 0.7675
0.2500 0.7500 0.5000
0.7500 0.2500 0.5000
0.0000 0.0000 0.0000
```

- Formation energy from raw total energies: -0.03 eV/atom

| no. | DOS(E_F) (states/eV per cell) |
| --- | --- |
| 1 | 5.18 |
| 2 | 10.40 |
| 3 | 7.92 |
| 4 | 1.73 |
| 5 | 6.27 |
| 6 | 10.58 |
| 7 | 2.46 |
| 8 | 6.89 |
| 9 | 9.83 |
| 10 | 9.99 |
| 11 | 5.24 |
| 12 | 7.48 |
| 13 | 4.96 |
| 14 | 7.48 |